Material: TmMgAu
Method: DFT, PBE
State: optimized geometry

It has space group P-62m (No. 189), with a = 7.5977 Å, b = 7.5977 Å, c = 3.9650 Å, α = 90.00°, β = 90.00° and γ = 120.00°. Symmetry generates all atoms from Tm at (0.0000, 0.4096, 0.0000), Mg at (0.0000, 0.7494, 0.5000), Au at (0.0000, 0.0000, 0.0000) and Au at (0.3333, 0.6667, 0.5000).

The total energy is -3.7831 eV per atom. Its crystal system is hexagonal.

=====

Material: TmMgAu
Method: DFT, PBE
State: optimized geometry

It has space group F-43m (No. 216), with a = 6.6735 Å, b = 6.6735 Å, c = 6.6735 Å, α = 90.00°, β = 90.00° and γ = 90.00°. Symmetry generates all atoms from Tm at (0.0000, 0.0000, 0.0000), Mg at (0.0000, 0.0000, 0.5000) and Au at (0.2500, 0.2500, 0.7500).

The total energy is -3.6100 eV per atom. Its crystal system is cubic.

=====

Material: YTmMg2Au4
Method: DFT, PBE
State: optimized geometry

It has space group P4/mmm (No. 123), with a = 4.8724 Å, b = 4.8724 Å, c = 6.9037 Å, α = 90.00°, β = 90.00° and γ = 90.00°. Symmetry generates all atoms from Y at (0.0000, 0.0000, 0.0000), Tm at (0.5000, 0.5000, 0.5000), Mg at (0.0000, 0.0000, 0.5000), Mg at (0.5000, 0.5000, 0.0000) and Au at (0.0000, 0.5000, 0.2553).

The total energy is -4.1762 eV per atom. Its crystal system is tetragonal.

=====

Material: Tm3Mg3Zn2Au
Method: DFT, PBE
State: optimized geometry

It has space group P-62m (No. 189), with a = 7.4246 Å, b = 7.4246 Å, c = 4.1666 Å, α = 90.00°, β = 90.00° and γ = 120.00°. Symmetry generates all atoms from Tm at (0.0000, 0.5887, 0.0000), Mg at (0.0000, 0.2470, 0.5000), Zn at (0.3333, 0.6667, 0.5000) and Au at (0.0000, 0.0000, 0.0000).

The total energy is -3.0522 eV per atom. Its crystal system is hexagonal.

=====

Material: MgUAu
Method: DFT, PBE
State: optimized geometry

It has space group F-43m (No. 216), with a = 6.7064 Å, b = 6.7064 Å, c = 6.7064 Å, α = 90.00°, β = 90.00° and γ = 90.00°. Symmetry generates all atoms from Mg at (0.0000, 0.0000, 0.0000), U at (0.2500, 0.2500, 0.2500) and Au at (0.2500, 0.2500, 0.7500).

The total energy is -4.6484 eV per atom. Its crystal system is cubic.

=====

Material: MgUAu
Method: DFT, PBE
State: optimized geometry

It has space group F-43m (No. 216), with a = 6.9733 Å, b = 6.9733 Å, c = 6.9733 Å, α = 90.00°, β = 90.00° and γ = 90.00°. Symmetry generates all atoms from Mg at (0.0000, 0.0000, 0.0000), U at (0.2500, 0.2500, 0.7500) and Au at (0.0000, 0.0000, 0.5000).

The total energy is -4.5929 eV per atom. Its crystal system is cubic.

=====

Material: MgW2Au
Method: DFT, PBE
State: optimized geometry

It has space group F-43m (No. 216), with a = 6.4358 Å, b = 6.4358 Å, c = 6.4358 Å, α = 90.00°, β = 90.00° and γ = 90.00°. Symmetry generates all atoms from Mg at (0.0000, 0.0000, 0.0000), W at (0.0000, 0.0000, 0.5000), W at (0.2500, 0.2500, 0.7500) and Au at (0.2500, 0.2500, 0.2500).

The total energy is -7.2702 eV per atom. Its crystal system is cubic.

=====

Material: Mg2WAu
Method: DFT, PBE
State: optimized geometry

It has space group F-43m (No. 216), with a = 6.5798 Å, b = 6.5798 Å, c = 6.5798 Å, α = 90.00°, β = 90.00° and γ = 90.00°. Symmetry generates all atoms from Mg at (0.0000, 0.0000, 0.0000), Mg at (0.2500, 0.2500, 0.2500), W at (0.0000, 0.0000, 0.5000) and Au at (0.2500, 0.2500, 0.7500).

The total energy is -4.4109 eV per atom. Its crystal system is cubic.

=====

Material: YMgAu
Method: DFT, PBE
State: optimized geometry

It has space group P-62m (No. 189), with a = 7.6638 Å, b = 7.6638 Å, c = 4.0224 Å, α = 90.00°, β = 90.00° and γ = 120.00°. Symmetry generates all atoms from Y at (0.0000, 0.4101, 0.0000), Mg at (0.0000, 0.7511, 0.5000), Au at (0.0000, 0.0000, 0.0000) and Au at (0.3333, 0.6667, 0.5000).

The total energy is -4.4574 eV per atom. Its crystal system is hexagonal.

=====

Material: YMg2ZrAu4
Method: DFT, PBE
State: optimized geometry

It has space group P4/mmm (No. 123), with a = 4.8306 Å, b = 4.8306 Å, c = 6.8164 Å, α = 90.00°, β = 90.00° and γ = 90.00°. Symmetry generates all atoms from Y at (0.0000, 0.0000, 0.0000), Mg at (0.0000, 0.0000, 0.5000), Mg at (0.5000, 0.5000, 0.0000), Zr at (0.5000, 0.5000, 0.5000) and Au at (0.0000, 0.5000, 0.2645).

The total energy is -4.5970 eV per atom. Its crystal system is tetragonal.

=====

Material: Mg2ZnAu
Method: DFT, PBE
State: optimized geometry

It has space group F-43m (No. 216), with a = 6.5274 Å, b = 6.5274 Å, c = 6.5274 Å, α = 90.00°, β = 90.00° and γ = 90.00°. Symmetry generates all atoms from Mg at (0.0000, 0.0000, 0.0000), Mg at (0.2500, 0.2500, 0.2500), Zn at (0.0000, 0.0000, 0.5000) and Au at (0.2500, 0.2500, 0.7500).

The total energy is -2.1905 eV per atom. Its crystal system is cubic.

=====

Material: MgZnAu
Method: DFT, PBE
State: optimized geometry

It has space group F-43m (No. 216), with a = 6.2546 Å, b = 6.2546 Å, c = 6.2546 Å, α = 90.00°, β = 90.00° and γ = 90.00°. Symmetry generates all atoms from Mg at (0.0000, 0.0000, 0.0000), Zn at (0.0000, 0.0000, 0.5000) and Au at (0.2500, 0.2500, 0.2500).

The total energy is -2.3592 eV per atom. Its crystal system is cubic.

=====

Material: MgZnAu2
Method: DFT, PBE
State: optimized geometry

It has space group P6_3/mmc (No. 194), with a = 4.5843 Å, b = 4.5843 Å, c = 7.9648 Å, α = 90.00°, β = 90.00° and γ = 120.00°. Symmetry generates all atoms from Mg at (0.0000, 0.0000, 0.2500), Zn at (0.3333, 0.6667, 0.2500) and Au at (0.3333, 0.6667, 0.5780).

The total energy is -2.5806 eV per atom. Its crystal system is hexagonal.

=====

Material: MgZnAu2
Method: DFT, PBE
State: optimized geometry

It has space group P6_3/mmc (No. 194), with a = 4.6003 Å, b = 4.6003 Å, c = 8.1043 Å, α = 90.00°, β = 90.00° and γ = 120.00°. Symmetry generates all atoms from Mg at (0.0000, 0.0000, 0.0000), Zn at (0.3333, 0.6667, 0.2500) and Au at (0.3333, 0.6667, 0.5821).

The total energy is -2.6775 eV per atom. Its crystal system is hexagonal.

=====

Material: MgZnAu2
Method: DFT, PBE
State: optimized geometry

It has space group P6_3/mmc (No. 194), with a = 4.4409 Å, b = 4.4409 Å, c = 8.6423 Å, α = 90.00°, β = 90.00° and γ = 120.00°. Symmetry generates all atoms from Mg at (0.3333, 0.6667, 0.2500), Zn at (0.0000, 0.0000, 0.0000) and Au at (0.3333, 0.6667, 0.5887).

The total energy is -2.7544 eV per atom. Its crystal system is hexagonal.

=====

Material: MoAu3
Method: DFT, PBE
State: optimized geometry

It has space group Pmmn (No. 59, origin choice 2), with a = 4.7250 Å, b = 5.9733 Å, c = 4.8909 Å, α = 90.00°, β = 90.00° and γ = 90.00°. Symmetry generates all atoms from Mo at (0.2500, 0.2500, 0.1735), Au at (0.2500, 0.0018, 0.6694) and Au at (0.2500, 0.7500, 0.1547).

Its crystal system is orthorhombic. The formation energy comes out at 1.35 eV per formula unit.

=====

Material: Mo2Au
Method: DFT, PBE
State: optimized geometry

It has space group Fd-3m (No. 227, origin choice 2), with a = 7.3996 Å, b = 7.3996 Å, c = 7.3996 Å, α = 90.00°, β = 90.00° and γ = 90.00°. Symmetry generates all atoms from Mo at (0.0000, 0.0000, 0.0000) and Au at (0.1250, 0.1250, 0.6250).

Its crystal system is cubic. The formation energy comes out at 1.30 eV per formula unit.

=====

Material: MoAu
Method: DFT, PBE
State: optimized geometry

It has space group P-6m2 (No. 187), with a = 2.8325 Å, b = 2.8325 Å, c = 4.7534 Å, α = 90.00°, β = 90.00° and γ = 120.00°. Symmetry generates all atoms from Mo at (0.0000, 0.0000, 0.0000) and Au at (0.3333, 0.6667, 0.5000).

Its crystal system is hexagonal. The formation energy comes out at 0.70 eV per formula unit.

=====

Material: Mo3AuN5
Method: DFT, PBE
State: optimized geometry

It has space group P6/mmm (No. 191), with a = 5.3659 Å, b = 5.3659 Å, c = 4.2088 Å, α = 90.00°, β = 90.00° and γ = 120.00°. Symmetry generates all atoms from Mo at (0.0000, 0.5000, 0.0000), Au at (0.0000, 0.0000, 0.5000), N at (0.0000, 0.0000, 0.0000) and N at (0.3333, 0.6667, 0.3446).

The total energy is -8.0130 eV per atom. Its crystal system is hexagonal.

=====

Material: Mo2AuN
Method: DFT, PBE
State: optimized geometry

It has space group C2/c (No. 15), with a = 9.1597 Å, b = 5.9234 Å, c = 13.0219 Å, α = 90.00°, β = 103.66° and γ = 90.00°. Symmetry generates all atoms from Mo at (0.0583, 0.0660, 0.4225), Mo at (0.1088, 0.4296, 0.5780), Mo at (0.2221, 0.4314, 0.9221), Au at (0.0000, 0.3876, 0.2500), Au at (0.1671, 0.1052, 0.7496), N at (0.0847, 0.2505, 0.0047) and N at (0.2500, 0.2500, 0.5000).

The total energy is -8.3130 eV per atom. Its crystal system is monoclinic.

=====

Number 1: mass density 9.81 g/cm³. Number 2: mass density 8.72 g/cm³. Number 3: mass density 11.09 g/cm³. Number 4: mass density 7.58 g/cm³. Number 5: mass density 10.11 g/cm³. Number 6: mass density 9.00 g/cm³. Number 7: mass density 14.68 g/cm³. Number 8: mass density 10.01 g/cm³. Number 9: mass density 7.55 g/cm³. Number 10: mass density 10.61 g/cm³. Number 11: mass density 7.43 g/cm³. Number 12: mass density 7.78 g/cm³. Number 13: mass density 11.08 g/cm³. Number 14: mass density 10.81 g/cm³. Number 15: mass density 10.88 g/cm³. Number 16: mass density 16.52 g/cm³. Number 17: mass density 12.75 g/cm³. Number 18: mass density 14.73 g/cm³. Number 19: mass density 8.78 g/cm³. Number 20: mass density 11.69 g/cm³.